Record 1
Dy2I2Br: optimized geometry, PBE-GGA.

Output
E above lowest polymorph: 56 meV per atom

Unit cell a=5.9748 b=7.4921 c=8.8229 alpha=62.47 beta=70.21 gamma=66.50
Element x y z (fractional)
I  0.7062  0.2180  0.3696
Dy  0.4964  0.2936  0.7135
Dy  0.5036  0.7064  0.2865
Br  0.6459  0.8273  0.8808
Dy  0.8627  0.7149  0.5596
Br  0.3541  0.1727  0.1192
I  0.2938  0.7820  0.6304
I  0.9613  0.2579  0.8194
I  0.0387  0.7421  0.1806
Dy  0.1373  0.2851  0.4404

Record 2
DyIBr: optimized geometry, PBE-GGA.

Output
E above lowest polymorph: 11 meV per atom

Unit cell a=4.0061 b=4.0061 c=7.7972 alpha=90.00 beta=90.00 gamma=120.00
Element x y z (fractional)
Dy  0.6667  0.3333  0.3433
Br  0.3333  0.6667  0.5701
I  0.0000  0.0000  0.0866

Record 3
DyI2Br: optimized geometry, PBE-GGA.

Output
E above lowest polymorph: 0 meV per atom

Unit cell a=4.3476 b=5.5972 c=8.7196 alpha=88.86 beta=75.64 gamma=90.00
Element x y z (fractional)
I  0.3742  0.9922  0.2524
Br  0.0009  0.5000  0.0001
Dy  0.9995  0.0000  0.0000
I  0.6254  0.0078  0.7475

Record 4
Dy3IBr2O6: optimized geometry, PBE-GGA.

Unit cell a=5.7432 b=6.7426 c=6.8189 alpha=119.63 beta=79.41 gamma=90.00
Element x y z (fractional)
Dy  0.5000  0.0000  0.5000
Br  0.1380  0.7125  0.4249
O  0.7052  0.3134  0.1233
O  0.2948  0.1901  0.8767
Dy  0.0000  0.5000  0.0000
O  0.3430  0.1739  0.3478
O  0.6570  0.8261  0.6522
O  0.2948  0.6866  0.8767
I  0.5000  0.0000  0.0000
Br  0.8620  0.2875  0.5751
Dy  0.5000  0.5000  0.5000
O  0.7052  0.8099  0.1233

Record 5
Dy2InBr: optimized geometry, PBE-GGA.

Unit cell a=3.5174 b=3.5174 c=11.1930 alpha=80.96 beta=80.96 gamma=60.00
Element x y z (fractional)
Dy  0.9047  0.9047  0.2860
Dy  0.0953  0.0953  0.7140
In  0.0000  0.0000  0.0000
Br  0.5000  0.5000  0.5000

Record 6
DyInBr: optimized geometry, PBE-GGA.

Unit cell a=3.9432 b=3.9430 c=13.8604 alpha=89.70 beta=81.82 gamma=60.00
Element x y z (fractional)
In  0.3788  0.8119  0.4306
Br  0.7641  0.6114  0.8604
Dy  0.1845  0.9036  0.7274
In  0.6212  0.1881  0.5694
Dy  0.8155  0.0964  0.2726
Br  0.2359  0.3886  0.1396

Record 7
DyIn4Br7: optimized geometry, PBE-GGA.

Unit cell a=5.5017 b=7.9028 c=11.6501 alpha=113.26 beta=103.66 gamma=90.00
Element x y z (fractional)
Br  0.7226  0.7812  0.4452
In  0.4175  0.4688  0.8351
Br  0.2774  0.2188  0.5548
Br  0.8897  0.6647  0.7793
Dy  0.0000  0.0000  0.0000
In  0.5825  0.5312  0.1649
In  0.6918  0.1278  0.3836
Br  0.5000  0.0000  0.0000
Br  0.1103  0.3353  0.2207
In  0.3082  0.8722  0.6164
Br  0.9184  0.1871  0.8369
Br  0.0816  0.8129  0.1631

Record 8
Dy2In3Br9: optimized geometry, PBE-GGA.

Unit cell a=10.2988 b=10.2987 c=10.2987 alpha=84.14 beta=84.14 gamma=84.14
Element x y z (fractional)
Br  0.9327  0.0759  0.7189
Br  0.2811  0.0673  0.9241
Br  0.2500  0.4041  0.0959
Br  0.0673  0.9241  0.2811
In  0.9713  0.5287  0.2500
Dy  0.3532  0.3532  0.3532
In  0.0287  0.4713  0.7500
Br  0.7811  0.4241  0.5673
Br  0.2189  0.5759  0.4327
Br  0.9041  0.7500  0.5959
In  0.5287  0.2500  0.9713
Br  0.5759  0.4327  0.2189
Br  0.0959  0.2500  0.4041
Br  0.7189  0.9327  0.0759
Br  0.5673  0.7811  0.4241
Br  0.0759  0.7189  0.9327
Dy  0.1468  0.1468  0.1468
Br  0.4241  0.5673  0.7811
Dy  0.6468  0.6468  0.6468
In  0.4713  0.7500  0.0287
Br  0.7500  0.5959  0.9041
In  0.2500  0.9713  0.5287
Br  0.4327  0.2189  0.5759
In  0.7500  0.0287  0.4713
Dy  0.8532  0.8532  0.8532
Br  0.9241  0.2811  0.0673
Br  0.4041  0.0959  0.2500
Br  0.5959  0.9041  0.7500

Record 9
DyIn2Br5: optimized geometry, PBE-GGA.

Unit cell a=9.0024 b=8.9081 c=13.2059 alpha=90.00 beta=90.00 gamma=90.00
Element x y z (fractional)
Br  0.9060  0.7500  0.4973
In  0.3936  0.5107  0.8325
Br  0.8310  0.0512  0.9435
Br  0.6690  0.0512  0.4435
Br  0.3310  0.5512  0.5565
Br  0.3310  0.9488  0.5565
Br  0.3632  0.2500  0.2968
Br  0.6690  0.4488  0.4435
In  0.8936  0.4893  0.6675
Br  0.4060  0.2500  0.0027
Br  0.1368  0.2500  0.7968
Br  0.8310  0.4488  0.9435
Br  0.0940  0.2500  0.5027
Br  0.9356  0.2500  0.1991
Br  0.6368  0.7500  0.7032
In  0.3936  0.9893  0.8325
Br  0.8632  0.7500  0.2032
Br  0.0644  0.7500  0.8009
In  0.1064  0.9893  0.3325
Dy  0.5762  0.7500  0.4935
Dy  0.0762  0.2500  0.0065
In  0.6064  0.4893  0.1675
Dy  0.9238  0.7500  0.9935
Br  0.1690  0.9488  0.0565
In  0.6064  0.0107  0.1675
Dy  0.4238  0.2500  0.5065
Br  0.5940  0.7500  0.9973
Br  0.5644  0.2500  0.6991
In  0.1064  0.5107  0.3325
Br  0.4356  0.7500  0.3009
In  0.8936  0.0107  0.6675
Br  0.1690  0.5512  0.0565

Record 10
DyIn3Br6: optimized geometry, PBE-GGA.

Unit cell a=7.6222 b=8.7039 c=11.2635 alpha=90.00 beta=85.96 gamma=90.00
Element x y z (fractional)
Br  0.8600  0.9320  0.2321
In  0.4710  0.0819  0.2255
Br  0.1400  0.0680  0.7679
Br  0.6577  0.2313  0.5828
Br  0.8423  0.7313  0.9172
Dy  0.0000  0.0000  0.0000
Br  0.1907  0.3367  0.4598
Br  0.3093  0.8367  0.0402
Br  0.3600  0.5680  0.7321
Br  0.6400  0.4320  0.2679
Br  0.6907  0.1633  0.9598
Br  0.8093  0.6633  0.5402
Br  0.3423  0.7687  0.4172
In  0.5000  0.5000  0.0000
In  0.0000  0.0000  0.5000
In  0.9710  0.4181  0.7255
Dy  0.5000  0.5000  0.5000
In  0.0290  0.5819  0.2745
Br  0.1577  0.2687  0.0828
In  0.5290  0.9181  0.7745

Record 11
KDyIn2Br6: optimized geometry, PBE-GGA.

Unit cell a=8.1226 b=8.1203 c=8.3769 alpha=60.95 beta=60.94 gamma=59.91
Element x y z (fractional)
Br  0.5643  0.2026  0.2460
Br  0.1270  0.4278  0.7742
Br  0.2025  0.9868  0.2461
Br  0.9866  0.5651  0.2458
K  0.8151  0.8153  0.5541
Dy  0.3230  0.3229  0.0310
Br  0.6718  0.1261  0.7745
In  0.0187  0.0190  0.9437
Br  0.4277  0.6712  0.7739
In  0.5250  0.5248  0.4259

Record 12
DyMgInBr6: optimized geometry, PBE-GGA.

Unit cell a=7.1603 b=7.1603 c=14.5237 alpha=90.00 beta=90.00 gamma=120.00
Element x y z (fractional)
Br  0.9892  0.6240  0.8590
Mg  0.3333  0.6667  0.2500
Br  0.9892  0.3652  0.6410
Br  0.3760  0.0108  0.6410
Mg  0.6667  0.3333  0.7500
Br  0.6240  0.6348  0.1410
Br  0.3760  0.3652  0.8590
Dy  0.6667  0.3333  0.2500
Br  0.3652  0.3760  0.3590
In  0.0000  0.0000  0.5000
Br  0.6348  0.0108  0.8590
Br  0.0108  0.3760  0.1410
Dy  0.3333  0.6667  0.7500
Br  0.6240  0.9892  0.3590
In  0.0000  0.0000  0.0000
Br  0.6348  0.6240  0.6410
Br  0.3652  0.9892  0.1410
Br  0.0108  0.6348  0.3590

Going through the records in order, we get energy relative to the elements, uncorrected values of -1.07 -1.38 -1.52 -1.93 -0.36 -0.94 -1.04 -1.32 -1.27 -1.15 -1.38 -1.47 eV/atom.